Record 1
## HgPtRh2 (SCAN)

Data for a crystal of HgPtRh2 relaxed with PBEsol.

formation energy from the elements: 1.099 eV/f.u.
energy: -51.201 eV/atom
density: 16.09 g/cm³
DOS at the Fermi energy: 0.87 states/eV per atom

a b c (Å): 2.768 2.768 9.344
angles (deg): 90.00 90.00 119.89
Atoms (fractional coordinates):
Hg 0.000 0.000 0.000
Pt 0.000 0.000 0.500
Rh 0.500 0.500 0.258
Rh 0.500 0.500 0.742

---

Record 2
## HgRuPt (SCAN)

Data for a crystal of HgRuPt relaxed with PBEsol.

formation energy from the elements: 1.571 eV/f.u.
energy: -57.205 eV/atom
density: 14.40 g/cm³
DOS at the Fermi energy: 0.29 states/eV per atom

a b c (Å): 4.327 4.327 4.327
angles (deg): 60.00 60.00 60.00
Atoms (fractional coordinates):
Hg 0.000 0.000 0.000
Ru 0.500 0.500 0.500
Pt 0.750 0.750 0.750

---

Record 3
## Hg2RuPt (SCAN)

Data for a crystal of Hg2RuPt relaxed with PBEsol.

formation energy from the elements: 1.610 eV/f.u.
energy: -59.935 eV/atom
density: 16.64 g/cm³
DOS at the Fermi energy: 0.56 states/eV per atom
excess energy over the best structure of this formula in the dataset: 0.40 eV/f.u.

a b c (Å): 5.834 5.834 5.834
angles (deg): 152.13 131.01 57.30
Atoms (fractional coordinates):
Hg 0.000 0.000 0.000
Hg 0.719 0.219 0.500
Ru 0.475 0.475 0.000
Pt 0.260 0.760 0.500

---

Record 4
## HgRuPt2 (SCAN)

Data for a crystal of HgRuPt2 relaxed with PBEsol.

formation energy from the elements: 1.039 eV/f.u.
energy: -60.585 eV/atom
density: 18.33 g/cm³
DOS at the Fermi energy: 0.93 states/eV per atom

a b c (Å): 4.809 4.809 4.916
angles (deg): 99.19 99.19 34.00
Atoms (fractional coordinates):
Hg 0.000 0.000 0.000
Ru 0.500 0.500 0.500
Pt 0.243 0.243 0.734
Pt 0.757 0.757 0.266

---

Record 5
## Hg2RuPt (SCAN)

Data for a crystal of Hg2RuPt relaxed with PBEsol.

formation energy from the elements: 1.853 eV/f.u.
energy: -59.875 eV/atom
density: 17.22 g/cm³
DOS at the Fermi energy: 0.91 states/eV per atom
excess energy over the best structure of this formula in the dataset: 0.64 eV/f.u.

a b c (Å): 4.350 4.350 3.554
angles (deg): 90.00 90.00 90.00
Atoms (fractional coordinates):
Hg 0.000 0.500 0.000
Hg 0.500 0.000 0.000
Ru 0.000 0.000 0.500
Pt 0.500 0.500 0.500

---

Record 6
## Hg2RuPt (SCAN)

Data for a crystal of Hg2RuPt relaxed with PBEsol.

formation energy from the elements: 1.528 eV/f.u.
energy: -59.956 eV/atom
density: 16.83 g/cm³
DOS at the Fermi energy: 0.81 states/eV per atom
excess energy over the best structure of this formula in the dataset: 0.32 eV/f.u.

a b c (Å): 9.609 9.609 9.609
angles (deg): 17.34 17.34 17.34
Atoms (fractional coordinates):
Hg 0.000 0.000 0.000
Hg 0.238 0.238 0.238
Ru 0.489 0.489 0.489
Pt 0.752 0.752 0.752